1.
VASP calculation (PBE) on an optimized crystal structure of Ba2FeAu.

a = 5.440 Å, b = 5.440 Å, c = 5.440 Å
α = 60.00°, β = 60.00°, γ = 60.00°
Fractional positions:
Ba  0.000  0.000  0.000
Ba  0.250  0.250  0.250
Fe  0.500  0.500  0.500
Au  0.750  0.750  0.750

Calculated values
The value obtained for the energy relative to the elements is 0.35 eV per atom. The total DFT energy (no corrections) comes out at -3.543 eV/atom. The density of states at the Fermi level is 6.4 states/eV/f.u. The value obtained for the energy relative to the lowest polymorph listed for this composition is 355 meV per atom. The calculation puts the total magnetic moment at 0.827 μB per atom. Its symmetry is F-43m, No. 216.



2.
VASP calculation (PBE) on an optimized crystal structure of RbIr3N.

a = 5.062 Å, b = 5.062 Å, c = 5.062 Å
α = 90.00°, β = 90.00°, γ = 90.00°
Fractional positions:
Rb  0.000  0.000  0.000
Ir  0.000  0.000  0.500
Ir  0.000  0.500  0.000
Ir  0.500  0.000  0.000
N  0.500  0.500  0.500

Calculated values
The total DFT energy (no corrections) comes out at -2.738 eV/atom. The density of states at the Fermi level is 7.6 states/eV/f.u. As for the uncorrected formation energy: 4.4370 eV/atom. The value obtained for the energy relative to the lowest polymorph listed for this composition is 3174 meV per atom. The calculation puts the total magnetic moment at 1.346 μB per atom. Its symmetry is Pm-3m, No. 221.



3.
VASP calculation (PBE) on an optimized crystal structure of Li2CeIn3.

a = 4.892 Å, b = 4.892 Å, c = 13.662 Å
α = 90.00°, β = 90.00°, γ = 120.00°
Fractional positions:
Li  0.333  0.667  0.091
Li  0.333  0.667  0.409
Li  0.667  0.333  0.591
Li  0.667  0.333  0.909
Ce  0.000  0.000  0.250
Ce  0.000  0.000  0.750
In  0.000  0.000  0.000
In  0.000  0.000  0.500
In  0.333  0.667  0.631
In  0.333  0.667  0.869
In  0.667  0.333  0.131
In  0.667  0.333  0.369

Calculated values
The value obtained for the energy relative to the elements is -0.27 eV per atom. The total DFT energy (no corrections) comes out at -3.263 eV/atom. The density of states at the Fermi level is 8.1 states/eV/f.u. The calculation puts the total magnetic moment at 0.199 μB per atom. Its symmetry is P6_3/mmc, No. 194.



4.
VASP calculation (PBE) on an optimized crystal structure of Hg4BrCl2O.

a = 6.616 Å, b = 6.708 Å, c = 7.123 Å
α = 93.09°, β = 109.01°, γ = 117.02°
Fractional positions:
Hg  0.000  0.000  0.000
Hg  0.025  0.629  0.595
Hg  0.502  0.237  0.846
Hg  0.973  0.997  0.373
Br  0.651  0.226  0.375
Cl  0.445  0.640  0.719
Cl  0.938  0.466  0.975
O  0.122  0.997  0.734

Calculated values
The total DFT energy (no corrections) comes out at -1.783 eV/atom. The density of states at the Fermi level is 0.9 states/eV/f.u. As for the uncorrected formation energy: -0.3412 eV/atom. The calculation puts the total magnetic moment at 0.000 μB per atom. Its symmetry is P1, No. 1.



5.
VASP calculation (PBE) on an optimized crystal structure of Ce3Er2Pb6.

a = 11.847 Å, b = 11.847 Å, c = 11.847 Å
α = 151.01°, β = 151.01°, γ = 41.47°
Fractional positions:
Ce  0.000  0.000  0.000
Ce  0.147  0.147  0.000
Ce  0.853  0.853  0.000
Er  0.425  0.425  0.000
Er  0.575  0.575  0.000
Pb  0.076  0.576  0.500
Pb  0.290  0.290  0.000
Pb  0.424  0.924  0.500
Pb  0.576  0.076  0.500
Pb  0.710  0.710  0.000
Pb  0.924  0.424  0.500

Calculated values
The value obtained for the energy relative to the elements is -0.07 eV per atom. The total DFT energy (no corrections) comes out at -4.542 eV/atom. The density of states at the Fermi level is 23.2 states/eV/f.u. The calculation puts the total magnetic moment at 0.260 μB per atom. Its symmetry is I4/mmm, No. 139.



6.
VASP calculation (PBE) on an optimized crystal structure of La3RuI2.

a = 8.537 Å, b = 8.537 Å, c = 8.537 Å
α = 152.24°, β = 136.11°, γ = 52.73°
Fractional positions:
La  0.000  0.000  0.000
La  0.380  0.380  0.000
La  0.620  0.620  0.000
Ru  0.500  0.000  0.500
I  0.184  0.684  0.500
I  0.816  0.316  0.500

Calculated values
The total DFT energy (no corrections) comes out at -5.394 eV/atom. The density of states at the Fermi level is 5.4 states/eV/f.u. As for the uncorrected formation energy: -0.8679 eV/atom. The calculation puts the total magnetic moment at 0.000 μB per atom. Its symmetry is Immm, No. 71.



7.
VASP calculation (PBE) on an optimized crystal structure of LaDyY2.

a = 5.113 Å, b = 5.113 Å, c = 5.104 Å
α = 90.00°, β = 90.00°, γ = 90.00°
Fractional positions:
La  0.000  0.000  0.000
Dy  0.500  0.500  0.000
Y  0.000  0.500  0.500
Y  0.500  0.000  0.500

Calculated values
The value obtained for the energy relative to the elements is 0.03 eV per atom. The total DFT energy (no corrections) comes out at -5.581 eV/atom. The density of states at the Fermi level is 6.9 states/eV/f.u. The value obtained for the energy relative to the lowest polymorph listed for this composition is 26 meV per atom. The calculation puts the total magnetic moment at 0.000 μB per atom. Its symmetry is P4/mmm, No. 123.



8.
VASP calculation (PBE) on an optimized crystal structure of Y2TaHg.

a = 3.332 Å, b = 3.368 Å, c = 8.779 Å
α = 90.00°, β = 90.00°, γ = 90.00°
Fractional positions:
Y  0.000  0.000  0.246
Y  0.000  0.000  0.754
Ta  0.500  0.500  0.000
Hg  0.500  0.500  0.500

Calculated values
The value obtained for the energy relative to the elements is 0.01 eV per atom. The total DFT energy (no corrections) comes out at -6.262 eV/atom. The density of states at the Fermi level is 4.4 states/eV/f.u. The calculation puts the total magnetic moment at 0.000 μB per atom. Its symmetry is Pmmm, No. 47.



Copy entry 7 word for word.
VASP calculation (PBE) on an optimized crystal structure of LaDyY2.

a = 5.113 Å, b = 5.113 Å, c = 5.104 Å
α = 90.00°, β = 90.00°, γ = 90.00°
Fractional positions:
La  0.000  0.000  0.000
Dy  0.500  0.500  0.000
Y  0.000  0.500  0.500
Y  0.500  0.000  0.500

Calculated values
The value obtained for the energy relative to the elements is 0.03 eV per atom. The total DFT energy (no corrections) comes out at -5.581 eV/atom. The density of states at the Fermi level is 6.9 states/eV/f.u. The value obtained for the energy relative to the lowest polymorph listed for this composition is 26 meV per atom. The calculation puts the total magnetic moment at 0.000 μB per atom. Its symmetry is P4/mmm, No. 123.



> What is the total DFT energy (no corrections) in the first record?

-3.543 eV/atom



> Which value of total magnetic moment does entry 7 give?

0.000 μB per atom